DFT (GGA-PBEsol) results for a relaxed BeCrIr2 crystal.

Cell: 2.640 4.753 4.776 Å, 118.50 103.86 94.24°
Sites, in units of the cell vectors:
Be 0.000 0.500 0.000
Ir 0.000 0.000 0.500
Ir 0.500 0.500 0.500
Cr 0.500 0.000 0.000

Output
SG: C2/m (12)
ρ, g/cm3: 14.83
Calculated formation energy, eV per formula unit: 0.3
Crystal system: monoclinic
Size of the total moment, Bohr magnetons per cell: 0.0



DFT (GGA-PBEsol) results for a relaxed ZrScP2 crystal.

Cell: 3.705 3.705 5.224 Å, 90.00 90.00 90.00°
Sites, in units of the cell vectors:
Sc 0.000 0.000 0.000
P 0.000 0.000 0.500
P 0.500 0.500 0.000
Zr 0.500 0.500 0.500

Output
SG: P4/mmm (123)
ρ, g/cm3: 4.59
Calculated formation energy, eV per formula unit: -6.0
Crystal system: tetragonal
Size of the total moment, Bohr magnetons per cell: 0.0



DFT (GGA-PBEsol) results for a relaxed Al3Cu2 crystal.

Cell: 2.807 2.807 10.306 Å, 82.17 82.17 60.00°
Sites, in units of the cell vectors:
Al 0.000 0.000 0.000
Al 0.204 0.204 0.388
Al 0.796 0.796 0.612
Cu 0.601 0.601 0.196
Cu 0.399 0.399 0.804

Output
SG: R-3m (166)
ρ, g/cm3: 4.97
Calculated formation energy, eV per formula unit: -0.5
Crystal system: trigonal
Size of the total moment, Bohr magnetons per cell: 0.0



DFT (GGA-PBEsol) results for a relaxed MgPb8 crystal.

Cell: 4.844 7.742 7.742 Å, 84.38 71.77 71.77°
Sites, in units of the cell vectors:
Pb 0.670 0.330 0.330
Pb 0.330 0.670 0.670
Pb 0.336 0.000 0.328
Pb 0.000 0.670 0.330
Pb 0.336 0.328 0.000
Pb 0.664 0.672 0.000
Pb 0.000 0.330 0.670
Pb 0.664 0.000 0.672
Mg 0.000 0.000 0.000

Output
SG: I4/mmm (139)
ρ, g/cm3: 10.66
Calculated formation energy, eV per formula unit: 0.0
Crystal system: tetragonal
Size of the total moment, Bohr magnetons per cell: 0.0



DFT (GGA-PBEsol) results for a relaxed CsCr2OsW crystal.

Cell: 4.624 4.624 5.430 Å, 90.00 90.00 90.00°
Sites, in units of the cell vectors:
W 0.000 0.000 0.000
Cr 0.000 0.500 0.000
Cr 0.500 0.000 0.000
Cs 0.000 0.000 0.500
Os 0.500 0.500 0.500

Output
SG: P4/mmm (123)
ρ, g/cm3: 8.74
Calculated formation energy, eV per formula unit: 14.7
Crystal system: tetragonal
Size of the total moment, Bohr magnetons per cell: 5.9



DFT (GGA-PBEsol) results for a relaxed Ca2MoPt crystal.

Cell: 3.240 3.240 8.976 Å, 90.00 90.00 90.00°
Sites, in units of the cell vectors:
Ca 0.500 0.500 0.312
Ca 0.000 0.000 0.930
Pt 0.500 0.500 0.701
Mo 0.000 0.000 0.558

Output
SG: P4mm (99)
ρ, g/cm3: 6.54
Calculated formation energy, eV per formula unit: 0.4
Crystal system: tetragonal
Size of the total moment, Bohr magnetons per cell: 0.0



DFT (GGA-PBEsol) results for a relaxed CoRePb2 crystal.

Cell: 2.950 4.348 6.554 Å, 109.37 103.01 90.00°
Sites, in units of the cell vectors:
Re 0.573 0.573 0.147
Pb 0.955 0.955 0.911
Pb 0.730 0.230 0.460
Co 0.242 0.742 0.483

Output
SG: Imm2 (44)
ρ, g/cm3: 14.22
Calculated formation energy, eV per formula unit: 3.2
Crystal system: orthorhombic
Size of the total moment, Bohr magnetons per cell: 0.0



DFT (GGA-PBEsol) results for a relaxed CoOsRh2 crystal.

Cell: 3.692 3.692 4.570 Å, 113.82 113.82 90.00°
Sites, in units of the cell vectors:
Os 0.500 0.500 0.000
Co 0.000 0.000 0.000
Rh 0.250 0.750 0.500
Rh 0.750 0.250 0.500

Output
SG: I4/mmm (139)
ρ, g/cm3: 14.78
Calculated formation energy, eV per formula unit: 0.3
Crystal system: tetragonal
Size of the total moment, Bohr magnetons per cell: 1.3



no.,DOS at the Fermi energy (states/eV/f.u.)
1,3.39
2,1.23
3,1.61
4,5.07
5,7.77
6,2.10
7,5.41
8,4.54